Record 1
Entry from Alexandria: PuSe after structural relaxation (PBE).

Geometry as POSCAR:
```
PuSe
1.0
-3.1909 1.3135 0.9495
-1.6185 -2.4719 -2.0196
-0.0855 -2.2301 2.7979
Se Pu
1 1
direct
0.5000 0.5000 0.5000
0.0000 0.0000 0.0000
```

- SG = Pm-3m (221)
- calculated volume (Å³/atom) = 22.92
- formation energy without anion corrections (eV/atom) = -1.34
- N(E_F) (states/eV per cell) = 4.7
- theoretical density (g/cm³) = 11.70

Record 2
Entry from Alexandria: Pu3Se after structural relaxation (PBE).

Geometry as POSCAR:
```
Pu3Se
1.0
-0.0867 2.2277 -3.9370
-3.3383 -2.6888 -1.4478
-3.0526 2.8772 1.6952
Pu Se
3 1
direct
0.0000 0.5000 0.5000
0.5000 0.5000 0.0000
0.5000 0.0000 0.5000
0.0000 0.0000 0.0000
```

- SG = Pm-3m (221)
- E above lowest polymorph (meV per atom) = 64
- calculated volume (Å³/atom) = 23.15
- formation energy without anion corrections (eV/atom) = -0.32
- N(E_F) (states/eV per cell) = 17.6
- theoretical density (g/cm³) = 14.54

Record 3
Entry from Alexandria: Pu3Se5 after structural relaxation (PBE).

Geometry as POSCAR:
```
Pu3Se5
1.0
-2.0298 -1.4006 5.1423
-3.7408 -7.2264 -3.4447
8.2459 -0.3697 3.1541
Se Pu
10 6
direct
0.0000 0.3333 0.6667
0.7500 0.7224 0.7224
0.2500 0.0000 0.7224
0.5000 0.6667 0.3333
0.7500 0.2776 0.0000
0.2500 0.7224 0.0000
0.2500 0.2776 0.2776
0.0000 0.6667 0.3333
0.5000 0.3333 0.6667
0.7500 0.0000 0.2776
0.7500 0.0000 0.6349
0.2500 0.6349 0.6349
0.7500 0.6349 0.0000
0.2500 0.0000 0.3651
0.7500 0.3651 0.3651
0.2500 0.3651 0.0000
```

- SG = P6_3/mcm (193)
- E above lowest polymorph (meV per atom) = 0
- calculated volume (Å³/atom) = 24.10
- formation energy without anion corrections (eV/atom) = -1.38
- N(E_F) (states/eV per cell) = 47.0
- theoretical density (g/cm³) = 9.70

Record 4
Entry from Alexandria: PuSe2 after structural relaxation (PBE).

Geometry as POSCAR:
```
PuSe2
1.0
5.5367 0.0000 0.0000
0.0000 6.9198 0.0000
0.0000 0.0000 7.8005
Pu Se
4 8
direct
0.2500 0.7478 0.9442
0.7500 0.2522 0.0558
0.2500 0.2522 0.4442
0.7500 0.7478 0.5558
0.5000 0.4260 0.7500
0.0000 0.5740 0.2500
0.7500 0.1255 0.4057
0.0000 0.4260 0.7500
0.2500 0.1255 0.0943
0.2500 0.8745 0.5943
0.7500 0.8745 0.9057
0.5000 0.5740 0.2500
```

- SG = Pbcm (57)
- calculated volume (Å³/atom) = 24.91
- formation energy without anion corrections (eV/atom) = -1.31
- N(E_F) (states/eV per cell) = 30.1
- theoretical density (g/cm³) = 8.93

Record 5
Entry from Alexandria: Pu4Se3 after structural relaxation (PBE).

Geometry as POSCAR:
```
Pu4Se3
1.0
-3.8935 0.7145 -0.4961
-2.6957 -2.1837 1.9699
-1.8801 8.2959 10.6632
Pu Se
4 3
direct
0.3775 0.3775 0.8674
0.1329 0.1329 0.6012
0.6225 0.6225 0.1326
0.8671 0.8671 0.3988
0.0000 0.0000 0.0000
0.7547 0.7547 0.7360
0.2453 0.2453 0.2640
```

- SG = R-3m (166)
- calculated volume (Å³/atom) = 26.47
- formation energy without anion corrections (eV/atom) = -1.13
- N(E_F) (states/eV per cell) = 32.6
- theoretical density (g/cm³) = 10.87

Record 6
Entry from Alexandria: Pu2Se3 after structural relaxation (PBE).

Geometry as POSCAR:
```
Pu2Se3
1.0
-1.1215 2.5987 -2.4864
6.2204 -3.6937 -6.6663
-9.7441 -8.4337 -4.4193
Pu Se
8 12
direct
0.7500 0.1397 0.4050
0.2500 0.4618 0.5479
0.7500 0.9618 0.9521
0.7500 0.5382 0.4521
0.2500 0.0382 0.0479
0.2500 0.8603 0.5950
0.2500 0.6397 0.0950
0.7500 0.3603 0.9050
0.7500 0.9076 0.7498
0.7500 0.8484 0.4373
0.7500 0.6516 0.9373
0.2500 0.1362 0.8544
0.2500 0.3484 0.0627
0.7500 0.6362 0.6456
0.7500 0.8638 0.1456
0.2500 0.3638 0.3544
0.7500 0.5924 0.2498
0.2500 0.4076 0.7502
0.2500 0.0924 0.2502
0.2500 0.1516 0.5627
```

- SG = Pnma (62)
- E above lowest polymorph (meV per atom) = 572
- calculated volume (Å³/atom) = 25.25
- formation energy without anion corrections (eV/atom) = -0.85
- N(E_F) (states/eV per cell) = 51.7
- theoretical density (g/cm³) = 9.54

Record 7
Entry from Alexandria: Pu4Se5 after structural relaxation (PBE).

Geometry as POSCAR:
```
Pu4Se5
1.0
3.5230 0.0021 0.0018
1.7569 7.6210 0.2434
1.7569 1.2450 7.5226
Se Pu
5 4
direct
0.7025 0.9642 0.6309
0.0000 0.3919 0.6081
0.0000 0.6667 0.3333
0.2975 0.3691 0.0358
0.0000 0.9414 0.0586
0.6884 0.6913 0.9318
0.6884 0.2652 0.3580
0.3116 0.0682 0.3087
0.3116 0.6420 0.7348
```

- SG = Immm (71)
- E above lowest polymorph (meV per atom) = 845
- calculated volume (Å³/atom) = 22.32
- formation energy without anion corrections (eV/atom) = -0.52
- N(E_F) (states/eV per cell) = 10.1
- theoretical density (g/cm³) = 11.33

Record 8
Entry from Alexandria: PuSe after structural relaxation (PBE).

Geometry as POSCAR:
```
PuSe
1.0
-1.4739 -3.8604 0.4047
1.9181 -2.7030 2.5008
-1.7957 -1.1745 3.5545
Pu Se
1 1
direct
0.0000 0.0000 0.0000
0.5000 0.5000 0.5000
```

- SG = Fm-3m (225)
- calculated volume (Å³/atom) = 25.31
- formation energy without anion corrections (eV/atom) = -1.52
- N(E_F) (states/eV per cell) = 9.6
- theoretical density (g/cm³) = 10.60

Record 9
Entry from Alexandria: PuSe2 after structural relaxation (PBE).

Geometry as POSCAR:
```
PuSe2
1.0
4.0987 0.0000 0.0000
0.0000 4.0987 0.0000
0.0000 0.0000 8.2803
Se Pu
4 2
direct
0.0000 0.5000 0.6386
0.5000 0.0000 0.3614
0.0000 0.0000 0.0000
0.5000 0.5000 0.0000
0.0000 0.5000 0.2771
0.5000 0.0000 0.7229
```

- SG = P4/nmm (129)
- calculated volume (Å³/atom) = 23.18
- formation energy without anion corrections (eV/atom) = -1.28
- N(E_F) (states/eV per cell) = 16.0
- theoretical density (g/cm³) = 9.60

Record 10
Entry from Alexandria: PuSe2 after structural relaxation (PBE).

Geometry as POSCAR:
```
PuSe2
1.0
4.1645 0.0000 0.0000
-2.0823 3.6066 0.0000
0.0000 0.0000 13.7878
Pu Se
2 4
direct
0.0000 0.0000 0.5000
0.0000 0.0000 0.0000
0.6667 0.3333 0.6065
0.3333 0.6667 0.1065
0.3333 0.6667 0.3935
0.6667 0.3333 0.8935
```

- SG = P6_3/mmc (194)
- calculated volume (Å³/atom) = 34.51
- formation energy without anion corrections (eV/atom) = -1.19
- N(E_F) (states/eV per cell) = 23.4
- theoretical density (g/cm³) = 6.45

Record 11
Entry from Alexandria: Pu6SiSe12 after structural relaxation (PBE).

Geometry as POSCAR:
```
Pu6SiSe12
1.0
8.0877 -0.0597 -0.0716
-1.2852 7.9852 -0.0716
-1.2852 -1.4973 7.8439
Se Pu Si
12 6 1
direct
0.6925 0.9454 0.0294
0.3075 0.0546 0.9706
0.4240 0.8215 0.5707
0.0546 0.9706 0.3075
0.5707 0.4240 0.8215
0.0294 0.6925 0.9454
0.4293 0.5760 0.1785
0.8215 0.5707 0.4240
0.5760 0.1785 0.4293
0.9706 0.3075 0.0546
0.9454 0.0294 0.6925
0.1785 0.4293 0.5760
0.3024 0.1325 0.6260
0.6976 0.8675 0.3740
0.3740 0.6976 0.8675
0.1325 0.6260 0.3024
0.6260 0.3024 0.1325
0.8675 0.3740 0.6976
0.0000 0.0000 0.0000
```

- SG = R-3 (148)
- calculated volume (Å³/atom) = 26.54
- formation energy without anion corrections (eV/atom) = -1.20
- N(E_F) (states/eV per cell) = 45.8
- theoretical density (g/cm³) = 8.03

Record 12
Entry from Alexandria: PuSi2Se6 after structural relaxation (PBE).

Geometry as POSCAR:
```
PuSi2Se6
1.0
-5.7607 -3.0293 -0.2018
0.5433 -3.6509 8.0326
-4.6310 6.4669 3.8573
Se Pu Si
12 2 4
direct
0.3440 0.0349 0.2032
0.3564 0.4091 0.8686
0.1560 0.7968 0.9651
0.6436 0.5909 0.1314
0.6560 0.9651 0.7968
0.1436 0.1314 0.5909
0.8564 0.8686 0.4091
0.3707 0.7126 0.5537
0.8707 0.5537 0.7126
0.1293 0.4463 0.2874
0.6293 0.2874 0.4463
0.8440 0.2032 0.0349
0.7500 0.8861 0.1139
0.2500 0.1139 0.8861
0.8177 0.3753 0.2273
0.1823 0.6247 0.7727
0.6823 0.7727 0.6247
0.3177 0.2273 0.3753
```

- SG = C2/c (15)
- calculated volume (Å³/atom) = 27.90
- formation energy without anion corrections (eV/atom) = -0.58
- N(E_F) (states/eV per cell) = 22.7
- theoretical density (g/cm³) = 5.12

Record 13
Entry from Alexandria: Pu2SiSe after structural relaxation (PBE).

Geometry as POSCAR:
```
Pu2SiSe
1.0
-0.9770 -0.5088 3.2175
1.0950 -3.2149 -0.1759
6.8005 2.1843 2.4103
Pu Se Si
2 1 1
direct
0.0000 0.0000 0.7515
0.0000 0.0000 0.2485
0.5000 0.5000 0.5000
0.5000 0.5000 0.0000
```

- SG = P4/mmm (123)
- E above lowest polymorph (meV per atom) = 30
- calculated volume (Å³/atom) = 21.80
- formation energy without anion corrections (eV/atom) = -0.77
- N(E_F) (states/eV per cell) = 13.0
- theoretical density (g/cm³) = 11.33

Record 14
Entry from Alexandria: Pu2SiSe after structural relaxation (PBE).

Geometry as POSCAR:
```
Pu2SiSe
1.0
4.1353 0.0000 0.0000
2.0677 3.5813 0.0000
2.0677 1.1938 6.7155
Pu Se Si
2 1 1
direct
0.7475 0.7475 0.7576
0.2525 0.2525 0.2424
0.5000 0.5000 0.5000
0.0000 0.0000 0.0000
```

- SG = R-3m (166)
- E above lowest polymorph (meV per atom) = 0
- calculated volume (Å³/atom) = 24.86
- formation energy without anion corrections (eV/atom) = -0.80
- N(E_F) (states/eV per cell) = 19.9
- theoretical density (g/cm³) = 9.93

Record 15
Entry from Alexandria: Pu6SiSe5 after structural relaxation (PBE).

Geometry as POSCAR:
```
Pu6SiSe5
1.0
-5.3040 -2.9758 -3.8324
0.6101 -7.1598 0.2234
-3.2847 -3.7272 5.1943
Pu Si Se
6 1 5
direct
0.2475 0.2456 0.0000
0.7539 0.0819 0.3284
0.2461 0.5897 0.3284
0.7539 0.4103 0.6716
0.2461 0.9181 0.6716
0.7525 0.7544 0.0000
0.0000 0.0000 0.0000
0.0000 0.6662 0.6675
0.5000 0.8310 0.3380
0.5000 0.1690 0.6620
0.0000 0.3338 0.3325
0.5000 0.5000 0.0000
```

- SG = C2/m (12)
- calculated volume (Å³/atom) = 25.27
- formation energy without anion corrections (eV/atom) = -1.31
- N(E_F) (states/eV per cell) = 57.7
- theoretical density (g/cm³) = 10.33

Record 16
Entry from Alexandria: PuThSiSe after structural relaxation (PBE).

Geometry as POSCAR:
```
PuThSiSe
1.0
4.2240 0.0000 0.0000
2.1120 3.6581 0.0000
2.1120 1.2194 6.7650
Pu Si Se Th
1 1 1 1
direct
0.1913 0.1913 0.4261
0.4463 0.4463 0.6610
0.9408 0.9408 0.1775
0.6980 0.6980 0.9061
```

- SG = R3m (160)
- calculated volume (Å³/atom) = 26.13
- formation energy without anion corrections (eV/atom) = -1.03
- N(E_F) (states/eV per cell) = 10.2
- theoretical density (g/cm³) = 9.26

Record 17
Entry from Alexandria: PuTl2SiSe4 after structural relaxation (PBE).

Geometry as POSCAR:
```
PuTl2SiSe4
1.0
8.5314 0.0134 -0.1340
0.0074 8.5314 -0.1341
-4.2749 -4.2779 6.1754
Tl Se Pu Si
4 8 2 2
direct
0.5000 0.0000 0.5000
0.5000 0.5000 0.0000
0.0000 0.0000 0.5000
0.5000 0.0000 0.0000
0.7642 0.7358 0.9560
0.7641 0.7358 0.5440
0.7524 0.3036 0.5280
0.2476 0.6964 0.4720
0.8036 0.2524 0.0280
0.2358 0.2642 0.4560
0.1964 0.7476 0.9720
0.2358 0.2642 0.0440
0.0000 0.5000 0.0000
0.0000 0.5000 0.5000
0.5000 0.5000 0.5000
0.0000 0.0000 0.0000
```

- SG = Imma (74)
- calculated volume (Å³/atom) = 27.48
- formation energy without anion corrections (eV/atom) = -0.59
- N(E_F) (states/eV per cell) = 22.9
- theoretical density (g/cm³) = 7.53

Record 18
Entry from Alexandria: Sm2PuSe3 after structural relaxation (PBE).

Geometry as POSCAR:
```
Sm2PuSe3
1.0
-0.2562 4.1260 0.4391
-5.1963 -0.0301 -2.7478
-0.1735 -2.8125 6.6463
Se Sm Pu
3 2 1
direct
0.1641 0.6641 0.8282
0.5000 0.0000 0.5000
0.8359 0.3359 0.1718
0.1687 0.1687 0.8374
0.8313 0.8313 0.1626
0.5000 0.5000 0.5000
```

- SG = Immm (71)
- calculated volume (Å³/atom) = 25.48
- formation energy without anion corrections (eV/atom) = -1.75
- N(E_F) (states/eV per cell) = 8.9
- theoretical density (g/cm³) = 8.49

Record 19
Entry from Alexandria: Sm6PuSe8 after structural relaxation (PBE).

Geometry as POSCAR:
```
Sm6PuSe8
1.0
-5.3747 3.5033 -5.3010
-8.1370 -1.6231 0.6447
-5.2228 5.9058 2.6656
Sm Se Pu
6 8 1
direct
0.0000 0.5000 0.5000
0.5000 0.0000 0.0000
0.0000 0.0000 0.5000
0.0000 0.5000 0.0000
0.5000 0.0000 0.5000
0.5000 0.5000 0.0000
0.2521 0.2521 0.7479
0.7500 0.7500 0.7500
0.7479 0.2521 0.7479
0.7479 0.7479 0.2521
0.2500 0.2500 0.2500
0.2521 0.7479 0.7479
0.2521 0.7479 0.2521
0.7479 0.2521 0.2521
0.0000 0.0000 0.0000
```

- SG = Fm-3m (225)
- calculated volume (Å³/atom) = 27.17
- formation energy without anion corrections (eV/atom) = -1.82
- N(E_F) (states/eV per cell) = 17.0
- theoretical density (g/cm³) = 7.24

Record 20
Entry from Alexandria: SmPu3Se6 after structural relaxation (PBE).

Geometry as POSCAR:
```
SmPu3Se6
1.0
-2.6948 1.7580 3.0927
-7.0569 -4.9007 -3.3633
3.5839 -11.8178 9.8405
Se Pu Sm
12 6 2
direct
0.2500 0.1504 0.9644
0.7500 0.4367 0.9971
0.7500 0.6005 0.5873
0.7500 0.8496 0.0356
0.7500 0.9019 0.4188
0.7500 0.5984 0.2231
0.2500 0.0981 0.5812
0.2500 0.4016 0.7769
0.2500 0.3995 0.4127
0.2500 0.0655 0.2059
0.2500 0.5633 0.0029
0.7500 0.9345 0.7941
0.2500 0.0869 0.3940
0.7500 0.5898 0.4012
0.2500 0.8541 0.9107
0.7500 0.9131 0.6060
0.2500 0.4102 0.5988
0.7500 0.1459 0.0893
0.2500 0.7554 0.1556
0.7500 0.2446 0.8444
```

- SG = P2_1/m (11)
- calculated volume (Å³/atom) = 32.51
- formation energy without anion corrections (eV/atom) = -1.30
- N(E_F) (states/eV per cell) = 79.8
- theoretical density (g/cm³) = 6.93

Record 21
Entry from Alexandria: Sm5PuSe6 after structural relaxation (PBE).

Geometry as POSCAR:
```
Sm5PuSe6
1.0
7.1547 0.1645 1.0815
1.7502 6.0357 3.5188
0.1192 0.0595 7.2096
Sm Se Pu
5 6 1
direct
0.0000 0.6677 0.6647
0.5000 0.1692 0.6615
0.5000 0.8308 0.3385
0.0000 0.3323 0.3353
0.5000 0.5000 0.0000
0.2488 0.9167 0.6694
0.7512 0.0833 0.3306
0.7512 0.4138 0.6694
0.7503 0.7520 0.0000
0.2488 0.5862 0.3306
0.2497 0.2480 0.0000
0.0000 0.0000 0.0000
```

- SG = C2/m (12)
- calculated volume (Å³/atom) = 25.60
- formation energy without anion corrections (eV/atom) = -1.78
- N(E_F) (states/eV per cell) = 13.7
- theoretical density (g/cm³) = 7.94

Record 22
Entry from Alexandria: SmPuSe2 after structural relaxation (PBE).

Geometry as POSCAR:
```
SmPuSe2
1.0
3.5858 0.0000 0.0000
0.0000 5.1195 0.0000
0.0000 0.0000 5.1195
Sm Pu Se
1 1 2
direct
0.5000 0.0000 0.0000
0.5000 0.5000 0.5000
0.0000 0.0000 0.5000
0.0000 0.5000 0.0000
```

- SG = P4/mmm (123)
- E above lowest polymorph (meV per atom) = 264
- calculated volume (Å³/atom) = 23.50
- formation energy without anion corrections (eV/atom) = -1.43
- N(E_F) (states/eV per cell) = 6.6
- theoretical density (g/cm³) = 9.76